Entry 1:
# CaTi2MoO8 | the Alexandria database | PBE+U | relaxed
data_CaTi2MoO8
_chemical_formula_sum 'Ca2 Ti4 Mo2 O16'
_space_group_name_H-M_alt 'C 1 2/m 1'
_space_group_IT_number 12
_space_group_name_Hall '-C 2y'
_cell_length_a 7.304
_cell_length_b 6.399
_cell_length_c 6.596
_cell_angle_alpha 90.00
_cell_angle_beta 96.87
_cell_angle_gamma 90.00
loop_
_atom_site_label
_atom_site_type_symbol
_atom_site_fract_x
_atom_site_fract_y
_atom_site_fract_z
Ca1 Ca 0.000 0.000 0.000
Ti1 Ti 0.050 0.500 0.225
Mo1 Mo 0.000 0.000 0.500
O1 O 0.003 0.212 0.287
O2 O 0.173 0.500 0.005
O3 O 0.237 0.500 0.455
# Total energy = -0.5810 Ry per atom

Entry 2:
# CaTl2MoO | the Alexandria database | PBE+U | relaxed
data_CaTl2MoO
_chemical_formula_sum 'Ca1 Tl2 Mo1 O1'
_space_group_name_H-M_alt 'P 4/m m m'
_space_group_IT_number 123
_space_group_name_Hall '-P 4 2'
_cell_length_a 6.023
_cell_length_b 6.023
_cell_length_c 5.836
_cell_angle_alpha 90.00
_cell_angle_beta 90.00
_cell_angle_gamma 90.00
loop_
_atom_site_label
_atom_site_type_symbol
_atom_site_fract_x
_atom_site_fract_y
_atom_site_fract_z
Ca1 Ca 0.000 0.000 0.000
Tl1 Tl 0.000 0.500 0.000
Mo1 Mo 0.000 0.000 0.500
O1 O 0.500 0.500 0.500
# Total energy = -0.1709 Ry per atom

Entry 3:
# Ca2Tl3MoO6 | the Alexandria database | PBE+U | relaxed
data_Ca2Tl3MoO6
_chemical_formula_sum 'Ca4 Tl6 Mo2 O12'
_space_group_name_H-M_alt 'C 1 2/m 1'
_space_group_IT_number 12
_space_group_name_Hall '-C 2y'
_cell_length_a 5.833
_cell_length_b 10.074
_cell_length_c 7.209
_cell_angle_alpha 90.00
_cell_angle_beta 107.15
_cell_angle_gamma 90.00
loop_
_atom_site_label
_atom_site_type_symbol
_atom_site_fract_x
_atom_site_fract_y
_atom_site_fract_z
Ca1 Ca 0.000 0.167 0.000
Tl1 Tl 0.000 0.000 0.500
Tl2 Tl 0.000 0.338 0.500
Mo1 Mo 0.000 0.500 0.000
O1 O 0.199 0.359 0.157
O2 O 0.224 0.500 0.841
# Total energy = -0.4189 Ry per atom

Entry 4:
# Ca2Tl2MoO6 | the Alexandria database | PBE+U | relaxed
data_Ca2Tl2MoO6
_chemical_formula_sum 'Ca4 Tl4 Mo2 O12'
_space_group_name_H-M_alt 'C 1 2/m 1'
_space_group_IT_number 12
_space_group_name_Hall '-C 2y'
_cell_length_a 5.872
_cell_length_b 10.010
_cell_length_c 6.692
_cell_angle_alpha 90.00
_cell_angle_beta 105.59
_cell_angle_gamma 90.00
loop_
_atom_site_label
_atom_site_type_symbol
_atom_site_fract_x
_atom_site_fract_y
_atom_site_fract_z
Ca1 Ca 0.000 0.165 0.000
Tl1 Tl 0.000 0.333 0.500
Mo1 Mo 0.000 0.500 0.000
O1 O 0.193 0.358 0.164
O2 O 0.222 0.500 0.822
# Total energy = -0.4432 Ry per atom

Entry 5:
# Ca2TlMoO6 | the Alexandria database | PBE+U | relaxed
data_Ca2TlMoO6
_chemical_formula_sum 'Ca2 Tl1 Mo1 O6'
_space_group_name_H-M_alt 'P 4 m m'
_space_group_IT_number 99
_space_group_name_Hall 'P 4 -2'
_cell_length_a 5.726
_cell_length_b 5.726
_cell_length_c 5.102
_cell_angle_alpha 90.00
_cell_angle_beta 90.00
_cell_angle_gamma 90.00
loop_
_atom_site_label
_atom_site_type_symbol
_atom_site_fract_x
_atom_site_fract_y
_atom_site_fract_z
Ca1 Ca 0.000 0.500 0.000
Tl1 Tl 0.000 0.000 0.570
Mo1 Mo 0.500 0.500 0.650
O1 O 0.000 0.000 0.141
O2 O 0.277 0.277 0.771
O3 O 0.500 0.500 0.297
# Total energy = -0.4559 Ry per atom

Entry 6:
# CaTmMo2O8 | the Alexandria database | PBE+U | relaxed
data_CaTmMo2O8
_chemical_formula_sum 'Ca2 Tm2 Mo4 O16'
_space_group_name_H-M_alt 'I -4'
_space_group_IT_number 82
_space_group_name_Hall 'I -4'
_cell_length_a 5.222
_cell_length_b 5.222
_cell_length_c 11.335
_cell_angle_alpha 90.00
_cell_angle_beta 90.00
_cell_angle_gamma 90.00
loop_
_atom_site_label
_atom_site_type_symbol
_atom_site_fract_x
_atom_site_fract_y
_atom_site_fract_z
Ca1 Ca 0.000 0.000 0.000
Tm1 Tm 0.000 0.500 0.750
Mo1 Mo 0.000 0.000 0.500
Mo2 Mo 0.000 0.500 0.250
O1 O 0.159 0.245 0.586
O2 O 0.179 0.760 0.169
# Total energy = -0.5436 Ry per atom

Entry 7:
# CaUMo4O16 | the Alexandria database | PBE+U | relaxed
data_CaUMo4O16
_chemical_formula_sum 'Ca2 U2 Mo8 O32'
_space_group_name_H-M_alt 'P 1 2/c 1'
_space_group_IT_number 13
_space_group_name_Hall '-P 2yc'
_cell_length_a 8.352
_cell_length_b 6.747
_cell_length_c 14.297
_cell_angle_alpha 90.00
_cell_angle_beta 125.40
_cell_angle_gamma 90.00
loop_
_atom_site_label
_atom_site_type_symbol
_atom_site_fract_x
_atom_site_fract_y
_atom_site_fract_z
Ca1 Ca 0.000 0.199 0.250
U1 U 0.500 0.198 0.250
Mo1 Mo 0.198 0.331 0.904
Mo2 Mo 0.299 0.333 0.593
O1 O 0.000 0.435 0.750
O2 O 0.095 0.345 0.598
O3 O 0.135 0.081 0.876
O4 O 0.186 0.351 0.437
O5 O 0.282 0.198 0.252
O6 O 0.316 0.349 0.068
O7 O 0.373 0.078 0.629
O8 O 0.406 0.347 0.903
O9 O 0.500 0.443 0.750
# Total energy = -0.5538 Ry per atom

Entry 8:
# CaUMoO6 | the Alexandria database | PBE+U | relaxed
data_CaUMoO6
_chemical_formula_sum 'Ca2 U2 Mo2 O12'
_space_group_name_H-M_alt 'P -3 1 c'
_space_group_IT_number 163
_space_group_name_Hall '-P 3 2c'
_cell_length_a 5.5512
_cell_length_b 5.5512
_cell_length_c 9.8792
_cell_angle_alpha 90.00
_cell_angle_beta 90.00
_cell_angle_gamma 120.00
loop_
_atom_site_label
_atom_site_type_symbol
_atom_site_fract_x
_atom_site_fract_y
_atom_site_fract_z
Ca1 Ca 0.0000 0.0000 0.0000
U1 U 0.3333 0.6667 0.2500
Mo1 Mo 0.3333 0.6667 0.7500
O1 O 0.0041 0.3599 0.6413
# Total energy = -0.6028 Ry per atom

Entry 9:
# CaV2MoO8 | the Alexandria database | PBE+U | relaxed
data_CaV2MoO8
_chemical_formula_sum 'Ca2 V4 Mo2 O16'
_space_group_name_H-M_alt 'I -4 m 2'
_space_group_IT_number 119
_space_group_name_Hall 'I -4 -2'
_cell_length_a 7.066
_cell_length_b 7.066
_cell_length_c 6.215
_cell_angle_alpha 90.00
_cell_angle_beta 90.00
_cell_angle_gamma 90.00
loop_
_atom_site_label
_atom_site_type_symbol
_atom_site_fract_x
_atom_site_fract_y
_atom_site_fract_z
Ca1 Ca 0.000 0.000 0.000
V1 V 0.000 0.000 0.500
V2 V 0.000 0.500 0.750
Mo1 Mo 0.000 0.500 0.250
O1 O 0.000 0.200 0.335
O2 O 0.000 0.322 0.944
# Total energy = -0.5343 Ry per atom

Entry 10:
# CaVMoO4 | the Alexandria database | PBE+U | relaxed
data_CaVMoO4
_chemical_formula_sum 'Ca4 V4 Mo4 O16'
_space_group_name_H-M_alt 'C m c m'
_space_group_IT_number 63
_space_group_name_Hall '-C 2c 2'
_cell_length_a 5.802
_cell_length_b 9.702
_cell_length_c 6.819
_cell_angle_alpha 90.00
_cell_angle_beta 90.00
_cell_angle_gamma 90.00
loop_
_atom_site_label
_atom_site_type_symbol
_atom_site_fract_x
_atom_site_fract_y
_atom_site_fract_z
Ca1 Ca 0.000 0.170 0.250
V1 V 0.000 0.159 0.750
Mo1 Mo 0.000 0.500 0.000
O1 O 0.000 0.281 0.536
O2 O 0.246 0.480 0.250
# Total energy = -0.5315 Ry per atom

Entry 11:
# CaMoWO6 | the Alexandria database | PBE+U | relaxed
data_CaMoWO6
_chemical_formula_sum 'Ca2 Mo2 W2 O12'
_space_group_name_H-M_alt 'P 42 n m'
_space_group_IT_number 102
_space_group_name_Hall 'P 4n -2n'
_cell_length_a 4.906
_cell_length_b 4.906
_cell_length_c 9.665
_cell_angle_alpha 90.00
_cell_angle_beta 90.00
_cell_angle_gamma 90.00
loop_
_atom_site_label
_atom_site_type_symbol
_atom_site_fract_x
_atom_site_fract_y
_atom_site_fract_z
Ca1 Ca 0.000 0.000 0.000
Mo1 Mo 0.000 0.000 0.671
W1 W 0.000 0.000 0.335
O1 O 0.176 0.176 0.494
O2 O 0.207 0.207 0.193
O3 O 0.222 0.222 0.818
# Total energy = -0.5357 Ry per atom

Entry 12:
# CaMoWO2 | the Alexandria database | PBE+U | relaxed
data_CaMoWO2
_chemical_formula_sum 'Ca1 Mo1 W1 O2'
_space_group_name_H-M_alt 'P 4/m m m'
_space_group_IT_number 123
_space_group_name_Hall '-P 4 2'
_cell_length_a 4.017
_cell_length_b 4.017
_cell_length_c 6.510
_cell_angle_alpha 90.00
_cell_angle_beta 90.00
_cell_angle_gamma 90.00
loop_
_atom_site_label
_atom_site_type_symbol
_atom_site_fract_x
_atom_site_fract_y
_atom_site_fract_z
Ca1 Ca 0.000 0.000 0.000
Mo1 Mo 0.500 0.500 0.000
W1 W 0.000 0.000 0.500
O1 O 0.000 0.500 0.500
# Total energy = -0.3896 Ry per atom